1.
## Mg2TeSO (PBE-GGA)

Data for a relaxed Mg2TeSO crystal.

```
5
Lattice="4.572 0.000 0.000 0.000 4.362 0.000 0.000 0.000 4.572" Properties=species:S:1:pos:R:3 pbc="T T T"
O 0.000 0.000 0.000
Mg 2.286 0.000 0.000
Mg 0.000 0.000 2.286
Te 2.286 2.181 2.286
S 0.000 2.181 0.000
```

Raw formation energy   -0.59 eV per atom



2.
## Tb4PmSm7 (PBE-GGA)

Data for a relaxed Tb4PmSm7 crystal.

```
12
Lattice="6.000 0.000 0.000 3.000 11.275 -0.313 3.000 0.194 6.049" Properties=species:S:1:pos:R:3 pbc="T T T"
Sm 9.000 3.835 4.699
Sm 3.000 0.000 0.000
Sm 9.000 10.481 2.735
Sm 3.000 7.634 1.036
Sm 3.000 0.989 3.001
Sm 6.000 5.807 4.438
Sm 6.000 5.662 1.298
Tb 9.000 7.843 4.709
Tb 3.000 3.626 1.027
Tb 6.000 2.624 2.962
Tb 6.000 8.845 2.774
Pm 0.000 0.000 0.000
```

Polymorph energy (0 for the lowest one)   246 meV/atom
ΔE_f   251 meV/atom



no.,total energy (eV per cell)
1,-18.3
2,-53.3